(1)
LiThGa2, relaxed, DFT PBE; relative energy among the computed polymorphs = 121 meV per atom; DFT total energy = -16.7 eV per cell; ΔH_f (0 K) = -0.33 eV/atom; mass density = 7.26 g/cm³; space group = Fm-3m
1.0
4.965 0.000 0.000
2.483 4.300 0.000
2.483 1.433 4.054
Li Ga Th
1 2 1
direct
0.000 0.000 0.000
0.750 0.750 0.750
0.250 0.250 0.250
0.500 0.500 0.500

(2)
As3HF, relaxed, DFT PBE; relative energy among the computed polymorphs = 0 meV per atom; DFT total energy = -17.9 eV per cell; mass density = 5.65 g/cm³; space group = Pm-3m
1.0
4.160 0.000 0.000
0.000 4.160 0.000
0.000 0.000 4.160
As F H
3 1 1
direct
0.000 0.500 0.000
0.000 0.000 0.500
0.500 0.000 0.000
0.500 0.500 0.500
0.000 0.000 0.000

(3)
KTaW2, relaxed, DFT PBE; relative energy among the computed polymorphs = 0 meV per atom; DFT total energy = -36.0 eV per cell; ΔH_f (0 K) = 0.72 eV/atom; mass density = 11.99 g/cm³; space group = Cmm2
1.0
-1.476 0.361 2.398
2.216 -1.730 0.394
6.211 8.533 2.540
Ta W K
1 2 1
direct
0.500 0.500 0.798
0.500 0.500 0.203
0.000 0.000 0.007
0.000 0.000 0.492

(4)
La4ZrNi, relaxed, DFT PBE; DFT total energy = -29.6 eV per cell; ΔH_f (0 K) = 0.74 eV/atom; mass density = 6.47 g/cm³; space group = F-43m
1.0
0.000 4.490 4.490
4.490 0.000 4.490
4.490 4.490 0.000
Zr La Ni
1 4 1
direct
0.000 0.000 0.000
0.624 0.127 0.624
0.127 0.624 0.624
0.624 0.624 0.127
0.624 0.624 0.624
0.250 0.250 0.250

> What is the formula in the third record?

KTaW2